# BeB3I | the Alexandria database | PBE | optimized geometry
# - offset from the most stable computed form (meV per atom) = 1143
# - calculated density (g cm⁻³) = 3.3
# - DOS(E_F) (states/eV/cell) = 2.227
# - formation energy from raw total energies (eV per atom) = 2.97
# - total moment (μB per cell) = 0.00
data_BeB3I
_symmetry_space_group_name_H-M 'P m -3 m'
_symmetry_Int_Tables_number 221
_symmetry_space_group_name_Hall '-P 4 2 3'
_cell_length_a 4.3948
_cell_length_b 4.3948
_cell_length_c 4.3948
_cell_angle_alpha 90.00
_cell_angle_beta 90.00
_cell_angle_gamma 90.00
loop_
_atom_site_label
_atom_site_fract_x
_atom_site_fract_y
_atom_site_fract_z
Be1 0.0000 0.0000 0.0000
B1 0.0000 0.5000 0.5000
I1 0.5000 0.5000 0.5000



# CaNdGdSn | the Alexandria database | PBE | optimized geometry
# - calculated density (g cm⁻³) = 6.4
# - DOS(E_F) (states/eV/cell) = 24.273
# - total moment (μB per cell) = 31.72
# - formation enthalpy at 0 K (eV/f.u.) = -1.1
data_CaNdGdSn
_symmetry_space_group_name_H-M 'F -4 3 m'
_symmetry_Int_Tables_number 216
_symmetry_space_group_name_Hall 'F -4 2 3'
_cell_length_a 7.8274
_cell_length_b 7.8274
_cell_length_c 7.8274
_cell_angle_alpha 90.00
_cell_angle_beta 90.00
_cell_angle_gamma 90.00
loop_
_atom_site_label
_atom_site_fract_x
_atom_site_fract_y
_atom_site_fract_z
Ca1 0.0000 0.0000 0.0000
Nd1 0.2500 0.2500 0.2500
Gd1 0.2500 0.2500 0.7500
Sn1 0.0000 0.0000 0.5000



# TaAlCr2Te | the Alexandria database | PBE | optimized geometry
# - calculated density (g cm⁻³) = 6.8
# - DOS(E_F) (states/eV/cell) = 5.413
# - formation energy from raw total energies (eV per atom) = 1.13
# - total moment (μB per cell) = 6.29
data_TaAlCr2Te
_symmetry_space_group_name_H-M 'P 4/m m m'
_symmetry_Int_Tables_number 123
_symmetry_space_group_name_Hall '-P 4 2'
_cell_length_a 4.6634
_cell_length_b 4.6634
_cell_length_c 4.9001
_cell_angle_alpha 90.00
_cell_angle_beta 90.00
_cell_angle_gamma 90.00
loop_
_atom_site_label
_atom_site_fract_x
_atom_site_fract_y
_atom_site_fract_z
Ta1 0.0000 0.0000 0.0000
Al1 0.0000 0.0000 0.5000
Cr1 0.0000 0.5000 0.5000
Te1 0.5000 0.5000 0.0000